Computed, not measured: a relaxed Ag3RhCl2F6 crystal at the PBE-GGA level of DFT.

Cell: 7.223 7.223 4.918 Å, 90.28 90.28 55.51°
Element x y z (fractional)
1 Ag 0.000 0.000 0.000
2 Ag 0.000 0.500 0.500
3 Ag 0.500 0.000 0.500
4 Rh 0.500 0.500 0.500
5 Cl 0.183 0.183 0.821
6 Cl 0.817 0.817 0.179
7 F 0.222 0.642 0.712
8 F 0.358 0.778 0.288
9 F 0.372 0.372 0.282
10 F 0.628 0.628 0.718
11 F 0.642 0.222 0.712
12 F 0.778 0.358 0.288

Computed properties:
As for the total energy: -3.681 eV per atom. The value obtained for the raw formation energy is -1.112 eV/atom. For the density of states at the Fermi level, the calculation gives 11.0 states/eV per cell. As for the volume: 17.63 A^3/atom.